Record 1
Material: La3ReSn
Method: DFT, SCAN
State: single point on PBEsol structure

Lattice parameters (Å, degrees): 5.834 5.834 5.834 90.00 90.00 90.00
Fractional coordinates of all 5 atoms:
La1 0.000 0.000 0.500
La2 0.000 0.500 0.000
La3 0.500 0.000 0.000
Re1 0.500 0.500 0.500
Sn1 0.000 0.000 0.000

calculated total energy	-46.111	eV/atom
energy relative to the elements	1.1557	eV per atom
space-group type	Pm-3m
total magnetization	2.3	μB per formula unit


Record 2
Material: Mn2IrOs
Method: DFT, SCAN
State: single point on PBEsol structure

Lattice parameters (Å, degrees): 2.645 2.645 8.475 90.00 90.00 115.17
Fractional coordinates of all 4 atoms:
Mn1 0.000 0.000 0.249
Mn2 0.000 0.000 0.751
Ir1 0.500 0.500 0.500
Os1 0.500 0.500 0.000

calculated total energy	-44.946	eV/atom
energy relative to the elements	-0.0734	eV per atom
space-group type	Cmmm
total magnetization	7.1	μB per formula unit
energy above the most stable polymorph in this dataset	0.285	eV per atom


Record 3
Material: HBr
Method: DFT, SCAN
State: single point on PBEsol structure

Lattice parameters (Å, degrees): 5.118 6.187 5.179 90.00 90.00 90.00
Fractional coordinates of all 8 atoms:
H1 0.039 0.250 0.213
H2 0.461 0.750 0.713
H3 0.539 0.250 0.287
H4 0.961 0.750 0.787
Br1 0.249 0.250 0.008
Br2 0.251 0.750 0.508
Br3 0.749 0.250 0.492
Br4 0.751 0.750 0.992

calculated total energy	-11.683	eV/atom
space-group type	Pnma
total magnetization	0.0	μB per formula unit


Record 4
Material: BaSr2In2
Method: DFT, SCAN
State: single point on PBEsol structure

Lattice parameters (Å, degrees): 9.232 9.232 4.427 90.00 90.00 90.00
Fractional coordinates of all 10 atoms:
Ba1 0.000 0.000 0.000
Ba2 0.500 0.500 0.000
Sr1 0.172 0.328 0.500
Sr2 0.328 0.828 0.500
Sr3 0.672 0.172 0.500
Sr4 0.828 0.672 0.500
In1 0.119 0.619 0.000
In2 0.381 0.119 0.000
In3 0.619 0.881 0.000
In4 0.881 0.381 0.000

calculated total energy	-30.614	eV/atom
energy relative to the elements	-0.4394	eV per atom
space-group type	P4/mbm
total magnetization	0.0	μB per formula unit
energy above the most stable polymorph in this dataset	0.000	eV per atom